(1)
Below is crystalline Tb4Se at its relaxed geometry, with properties calculated at the PBE level.

Output
- Theoretical density: 7.257 g/cm3
- D(E_F): 8.813 states/eV per cell
- E_tot: -4.86 eV per atom
- Magnetization: 0.00 Bohr magnetons per cell

Cell lengths 5.469, 5.469, 5.469 Å; angles 90.00, 90.00, 90.00 degrees
Fractional positions:
Tb: 0.000 0.000 0.000
Tb: 0.000 0.500 0.500
Tb: 0.500 0.000 0.500
Tb: 0.500 0.500 0.000
Se: 0.500 0.500 0.500

=====

(2)
Below is crystalline BaTmAu2 at its relaxed geometry, with properties calculated at the PBE level.

Output
- Theoretical density: 10.789 g/cm3
- D(E_F): 3.241 states/eV per cell
- Magnetization: 0.00 Bohr magnetons per cell
- Energy above the lowest structure with this stoichiometry: 0.00 kJ per mole of atoms

Cell lengths 3.717, 3.717, 7.799 Å; angles 90.00, 90.00, 90.00 degrees
Fractional positions:
Ba: 0.000 0.000 0.000
Tm: 0.000 0.000 0.500
Au: 0.500 0.500 0.305
Au: 0.500 0.500 0.695

=====

(3)
Below is crystalline GdAgBiPt at its relaxed geometry, with properties calculated at the PBE level.

Output
- Theoretical density: 12.388 g/cm3
- D(E_F): 11.399 states/eV per cell
- E_tot: -7.24 eV per atom
- Magnetization: 27.60 Bohr magnetons per cell

Cell lengths 7.106, 7.106, 7.106 Å; angles 90.00, 90.00, 90.00 degrees
Fractional positions:
Gd: 0.000 0.000 0.000
Gd: 0.000 0.500 0.500
Gd: 0.500 0.000 0.500
Gd: 0.500 0.500 0.000
Ag: 0.250 0.250 0.250
Ag: 0.250 0.750 0.750
Ag: 0.750 0.250 0.750
Ag: 0.750 0.750 0.250
Bi: 0.000 0.000 0.500
Bi: 0.000 0.500 0.000
Bi: 0.500 0.000 0.000
Bi: 0.500 0.500 0.500
Pt: 0.250 0.250 0.750
Pt: 0.250 0.750 0.250
Pt: 0.750 0.250 0.250
Pt: 0.750 0.750 0.750

=====

(4)
Below is crystalline CsZrOs3 at its relaxed geometry, with properties calculated at the PBE level.

Output
- Theoretical density: 11.464 g/cm3
- D(E_F): 6.844 states/eV per cell
- E_tot: -5.27 eV per atom
- Magnetization: 0.00 Bohr magnetons per cell

Cell lengths 4.865, 4.865, 4.865 Å; angles 90.00, 90.00, 90.00 degrees
Fractional positions:
Cs: 0.000 0.000 0.000
Zr: 0.500 0.500 0.500
Os: 0.000 0.000 0.500
Os: 0.000 0.500 0.000
Os: 0.500 0.000 0.000

=====

(5)
Below is crystalline CaInAg2H at its relaxed geometry, with properties calculated at the PBE level.

Output
- Theoretical density: 6.608 g/cm3
- D(E_F): 1.552 states/eV per cell
- E_tot: -2.85 eV per atom
- Magnetization: 0.00 Bohr magnetons per cell

Cell lengths 4.613, 4.613, 4.389 Å; angles 90.00, 90.00, 90.00 degrees
Fractional positions:
Ca: 0.000 0.000 0.000
In: 0.500 0.500 0.000
Ag: 0.000 0.500 0.500
Ag: 0.500 0.000 0.500
H: 0.000 0.000 0.500

=====

(6)
Below is crystalline HgSb2Au2 at its relaxed geometry, with properties calculated at the PBE level.

Output
- Theoretical density: 10.851 g/cm3
- D(E_F): 1.683 states/eV per cell
- Magnetization: 0.00 Bohr magnetons per cell
- Energy above the lowest structure with this stoichiometry: 0.00 kJ per mole of atoms

Cell lengths 4.689, 4.930, 6.264 Å; angles 73.67, 68.03, 88.92 degrees
Fractional positions:
Hg: 0.000 0.000 0.000
Sb: 0.356 0.464 0.269
Sb: 0.644 0.536 0.731
Au: 0.217 0.829 0.574
Au: 0.783 0.171 0.426

=====

(7)
Below is crystalline V6Co12Pd at its relaxed geometry, with properties calculated at the PBE level.

Output
- Theoretical density: 7.764 g/cm3
- D(E_F): 20.626 states/eV per cell
- E_tot: -7.42 eV per atom
- Magnetization: 0.00 Bohr magnetons per cell

Cell lengths 6.672, 6.672, 6.672 Å; angles 108.12, 108.12, 108.12 degrees
Fractional positions:
V: 0.240 0.696 0.696
V: 0.304 0.304 0.760
V: 0.304 0.760 0.304
V: 0.696 0.240 0.696
V: 0.696 0.696 0.240
V: 0.760 0.304 0.304
Co: 0.111 0.500 0.889
Co: 0.111 0.889 0.500
Co: 0.169 0.389 0.389
Co: 0.389 0.169 0.389
Co: 0.389 0.389 0.169
Co: 0.500 0.111 0.889
Co: 0.500 0.889 0.111
Co: 0.611 0.611 0.831
Co: 0.611 0.831 0.611
Co: 0.831 0.611 0.611
Co: 0.889 0.111 0.500
Co: 0.889 0.500 0.111
Pd: 0.000 0.000 0.000

=====

(8)
Below is crystalline ScCuMo4 at its relaxed geometry, with properties calculated at the PBE level.

Output
- Theoretical density: 7.867 g/cm3
- D(E_F): 7.213 states/eV per cell
- E_tot: -8.62 eV per atom
- Magnetization: 0.00 Bohr magnetons per cell

Cell lengths 5.277, 5.277, 5.277 Å; angles 60.00, 60.00, 60.00 degrees
Fractional positions:
Sc: 0.000 0.000 0.000
Cu: 0.250 0.250 0.250
Mo: 0.126 0.625 0.625
Mo: 0.625 0.126 0.625
Mo: 0.625 0.625 0.126
Mo: 0.625 0.625 0.625

=====

(9)
Below is crystalline LaTmGe at its relaxed geometry, with properties calculated at the PBE level.

Output
- Theoretical density: 7.519 g/cm3
- D(E_F): 9.606 states/eV per cell
- E_tot: -5.24 eV per atom
- Magnetization: 0.00 Bohr magnetons per cell

Cell lengths 6.837, 6.127, 8.433 Å; angles 90.00, 107.95, 90.00 degrees
Fractional positions:
La: 0.002 0.001 0.250
La: 0.002 0.499 0.750
La: 0.998 0.501 0.250
La: 0.998 0.999 0.750
Tm: 0.421 0.250 0.105
Tm: 0.421 0.250 0.605
Tm: 0.579 0.750 0.395
Tm: 0.579 0.750 0.895
Ge: 0.282 0.749 0.071
Ge: 0.282 0.751 0.571
Ge: 0.718 0.249 0.429
Ge: 0.718 0.251 0.929

=====

(10)
Below is crystalline La4Pm2Sm5 at its relaxed geometry, with properties calculated at the PBE level.

Output
- Theoretical density: 6.732 g/cm3
- D(E_F): 15.584 states/eV per cell
- Magnetization: 0.00 Bohr magnetons per cell
- Energy above the lowest structure with this stoichiometry: 15.37 kJ per mole of atoms

Cell lengths 12.698, 12.698, 12.698 Å; angles 163.84, 136.16, 47.02 degrees
Fractional positions:
La: 0.094 0.094 0.000
La: 0.209 0.500 0.709
La: 0.791 0.500 0.291
La: 0.906 0.906 0.000
Pm: 0.228 0.228 0.000
Pm: 0.772 0.772 0.000
Sm: 0.156 0.352 0.804
Sm: 0.452 0.648 0.804
Sm: 0.500 0.000 0.500
Sm: 0.548 0.352 0.196
Sm: 0.844 0.648 0.196

=====

(11)
Below is crystalline YTe2Se at its relaxed geometry, with properties calculated at the PBE level.

Output
- Theoretical density: 6.210 g/cm3
- D(E_F): 1.644 states/eV per cell
- E_tot: -4.81 eV per atom
- Magnetization: 0.00 Bohr magnetons per cell

Cell lengths 4.230, 4.230, 6.321 Å; angles 90.00, 90.00, 90.00 degrees
Fractional positions:
Y: 0.000 0.000 0.000
Te: 0.000 0.500 0.500
Te: 0.500 0.000 0.500
Se: 0.500 0.500 0.000

=====

(12)
Below is crystalline Ba6PPd2 at its relaxed geometry, with properties calculated at the PBE level.

Output
- Theoretical density: 4.198 g/cm3
- D(E_F): 17.886 states/eV per cell
- E_tot: -3.54 eV per atom
- Magnetization: 0.00 Bohr magnetons per cell

Cell lengths 8.139, 7.635, 15.842 Å; angles 90.00, 120.91, 90.00 degrees
Fractional positions:
Ba: 0.008 0.240 0.337
Ba: 0.008 0.260 0.837
Ba: 0.332 0.721 0.000
Ba: 0.332 0.779 0.500
Ba: 0.334 0.239 0.663
Ba: 0.334 0.261 0.163
Ba: 0.666 0.739 0.837
Ba: 0.666 0.761 0.337
Ba: 0.668 0.221 0.500
Ba: 0.668 0.279 0.000
Ba: 0.992 0.740 0.163
Ba: 0.992 0.760 0.663
P: 0.000 0.000 0.500
P: 0.000 0.500 0.000
Pd: 0.323 0.000 0.323
Pd: 0.323 0.500 0.823
Pd: 0.677 0.000 0.677
Pd: 0.677 0.500 0.177